An optimized crystal structure of Ac2Mg4HgPb3, computed with GGA-PBE.

a b c (Å): 4.9078 4.9078 11.9028
angles (deg): 90.00 90.00 90.00
With the nearest neighbours (Å) after each atom.
Atoms (fractional coordinates):
1 Mg 0.0000 0.0000 0.0000  4 Pb 2.98
2 Mg 0.5000 0.0000 0.6212  3 Pb 2.81-2.85, 2 Hg 2.85
3 Mg 0.0000 0.5000 0.3788  3 Pb 2.81-2.85, 2 Hg 2.85
4 Mg 0.5000 0.5000 0.0000  4 Pb 2.98
5 Pb 0.5000 0.0000 0.8573  5 Mg 2.81-2.98
6 Pb 0.0000 0.0000 0.5000  4 Mg 2.85
7 Pb 0.0000 0.5000 0.1427  5 Mg 2.81-2.98
8 Ac 0.0000 0.5000 0.7349  2 Hg 3.72, 6 Pb 3.72-3.76, 8 Mg 3.73-4.00
9 Ac 0.5000 0.0000 0.2651  2 Hg 3.72, 6 Pb 3.72-3.76, 8 Mg 3.73-4.00
10 Hg 0.5000 0.5000 0.5000  4 Mg 2.85

Values from the calculation:
ΔE_f: -339.1 meV/atom
Energy: -2.9413 eV per atom

***

An optimized crystal structure of AcMg2Hg4Pb, computed with GGA-PBE.

a b c (Å): 4.9672 4.9672 10.4339
angles (deg): 76.23 76.23 60.00
With the nearest neighbours (Å) after each atom.
Atoms (fractional coordinates):
1 Mg 0.2426 0.2426 0.2722  6 Hg 2.97-3.04
2 Mg 0.7574 0.7574 0.7278  6 Hg 2.97-3.04
3 Hg 0.6098 0.6098 0.1707  3 Mg 3.04, 1 Pb 3.30, 3 Ac 3.34, 3 Hg 3.38
4 Hg 0.3902 0.3902 0.8293  3 Mg 3.04, 1 Pb 3.30, 3 Ac 3.34, 3 Hg 3.38
5 Hg 0.8834 0.8834 0.3499  3 Mg 2.97, 3 Pb 3.24
6 Hg 0.1166 0.1166 0.6501  3 Mg 2.97, 3 Pb 3.24
7 Pb 0.5000 0.5000 0.5000  8 Hg 3.24-3.30
8 Ac 0.0000 0.0000 0.0000  8 Hg 3.34-3.51

Values from the calculation:
ΔE_f: -251.7 meV/atom
Energy: -1.7783 eV per atom

***

> Number 2 is which compound?

AcMg2Hg4Pb

***

> Among the records above, which one has the lowest energy?

Ac2Mg4HgPb3

***

> Among the records above, which one has the highest energy?

AcMg2Hg4Pb